[1]
Material: Sr2Pd3Pb2
Method: DFT, GGA-PBE
State: optimized geometry

Calculated values
The energy of formation from the pure elements is -0.51 eV/atom. For the energy above the lowest structure with this stoichiometry, the calculation gives 0 meV/atom.

a = 12.479 Å, b = 4.165 Å, c = 7.526 Å
α = 90.00°, β = 114.62°, γ = 90.00°
Space group C2/m (No. 12)
One atom of each set of equivalent atoms:
Sr 0.115 0.000 0.269
Pd 0.000 0.500 0.500
Pd 0.097 0.500 0.931
Pb 0.166 0.000 0.755

[2]
Material: Sr2PdPb
Method: DFT, GGA-PBE
State: optimized geometry

Calculated values
The energy of formation from the pure elements is -0.53 eV/atom.

a = 3.724 Å, b = 3.724 Å, c = 8.727 Å
α = 90.00°, β = 90.00°, γ = 90.00°
Space group P4/mmm (No. 123)
One atom of each set of equivalent atoms:
Sr 0.000 0.000 0.216
Pd 0.500 0.500 0.000
Pb 0.500 0.500 0.500

[3]
Material: Sr2Pd7Pb
Method: DFT, GGA-PBE
State: optimized geometry

Calculated values
The energy of formation from the pure elements is -0.34 eV/atom.

a = 4.212 Å, b = 4.212 Å, c = 12.208 Å
α = 90.00°, β = 90.00°, γ = 90.00°
Space group P-4m2 (No. 115)
One atom of each set of equivalent atoms:
Sr 0.000 0.500 0.222
Pd 0.000 0.000 0.000
Pd 0.000 0.500 0.649
Pd 0.000 0.500 0.861
Pd 0.500 0.500 0.000
Pd 0.500 0.500 0.500
Pb 0.000 0.000 0.500

[4]
Material: SrPd2Pb3
Method: DFT, GGA-PBE
State: optimized geometry

Calculated values
The energy of formation from the pure elements is -0.34 eV/atom. For the energy above the lowest structure with this stoichiometry, the calculation gives 33 meV/atom.

a = 10.420 Å, b = 9.646 Å, c = 6.045 Å
α = 90.00°, β = 90.00°, γ = 90.00°
Space group Cmcm (No. 63)
One atom of each set of equivalent atoms:
Sr 0.000 0.098 0.250
Pd 0.241 0.500 0.000
Pb 0.000 0.435 0.250
Pb 0.165 0.245 0.750

[5]
Material: Sr3Pd3Pb2
Method: DFT, GGA-PBE
State: optimized geometry

Calculated values
The energy of formation from the pure elements is -0.56 eV/atom.

a = 4.593 Å, b = 12.431 Å, c = 15.572 Å
α = 90.00°, β = 90.00°, γ = 90.00°
Space group Cmcm (No. 63)
One atom of each set of equivalent atoms:
Sr 0.000 0.071 0.110
Sr 0.000 0.354 0.250
Pd 0.000 0.329 0.750
Pd 0.000 0.396 0.039
Pb 0.000 0.221 0.587

[6]
Material: Sr2Pd4Pb3
Method: DFT, GGA-PBE
State: optimized geometry

Calculated values
The energy of formation from the pure elements is -0.51 eV/atom.

a = 6.527 Å, b = 17.375 Å, c = 7.583 Å
α = 90.00°, β = 90.00°, γ = 90.00°
Space group Cmce (No. 64)
One atom of each set of equivalent atoms:
Sr 0.000 0.100 0.086
Pd 0.000 0.164 0.488
Pd 0.250 0.074 0.750
Pb 0.000 0.000 0.500
Pb 0.250 0.239 0.750

[7]
Material: Sr2PdPb
Method: DFT, GGA-PBE
State: optimized geometry

Calculated values
The energy of formation from the pure elements is -0.21 eV/atom.

a = 4.1291 Å, b = 4.1291 Å, c = 31.4559 Å
α = 90.00°, β = 90.00°, γ = 120.00°
Space group R-3m (No. 166, hexagonal axes)
One atom of each set of equivalent atoms:
Sr 0.0000 0.0000 0.1087
Pd 0.0000 0.0000 0.5000
Pb 0.0000 0.0000 0.0000

[8]
Material: Sr2PdPb2
Method: DFT, GGA-PBE
State: optimized geometry

Calculated values
The energy of formation from the pure elements is -0.57 eV/atom. For the energy above the lowest structure with this stoichiometry, the calculation gives 0 meV/atom.

a = 11.890 Å, b = 4.857 Å, c = 11.975 Å
α = 90.00°, β = 116.75°, γ = 90.00°
Space group C2/m (No. 12)
One atom of each set of equivalent atoms:
Sr 0.004 0.000 0.332
Sr 0.186 0.000 0.116
Pd 0.218 0.500 0.339
Pb 0.021 0.500 0.880
Pb 0.159 0.500 0.555

[9]
Material: Sr3Pd8Pb
Method: DFT, GGA-PBE
State: optimized geometry

Calculated values
The energy of formation from the pure elements is -0.54 eV/atom.

a = 5.5768 Å, b = 5.5768 Å, c = 27.2138 Å
α = 90.00°, β = 90.00°, γ = 120.00°
Space group R3m (No. 160, hexagonal axes)
One atom of each set of equivalent atoms:
Sr 0.0000 0.0000 0.0000
Sr 0.0000 0.0000 0.1269
Sr 0.0000 0.0000 0.6210
Pd 0.0000 0.0000 0.3122
Pd 0.0000 0.0000 0.8124
Pd 0.0015 0.5008 0.0630
Pd 0.1669 0.3338 0.8945
Pb 0.0000 0.0000 0.4968

[10]
Material: SrTbPdPb
Method: DFT, GGA-PBE
State: optimized geometry

Calculated values
The energy of formation from the pure elements is -0.50 eV/atom.

a = 7.598 Å, b = 7.598 Å, c = 7.598 Å
α = 90.00°, β = 90.00°, γ = 90.00°
Space group F-43m (No. 216)
One atom of each set of equivalent atoms:
Sr 0.000 0.000 0.000
Tb 0.000 0.000 0.500
Pd 0.250 0.250 0.750
Pb 0.250 0.250 0.250

[11]
Material: SrTcPdPb2
Method: DFT, GGA-PBE
State: optimized geometry

Calculated values
The energy of formation from the pure elements is 0.48 eV/atom.

a = 5.257 Å, b = 5.257 Å, c = 5.559 Å
α = 90.00°, β = 90.00°, γ = 90.00°
Space group P4/mmm (No. 123)
One atom of each set of equivalent atoms:
Sr 0.000 0.000 0.000
Tc 0.000 0.000 0.500
Pd 0.500 0.500 0.000
Pb 0.000 0.500 0.500

[12]
Material: Sr2TcPdPb
Method: DFT, GGA-PBE
State: optimized geometry

Calculated values
The energy of formation from the pure elements is 0.93 eV/atom.

a = 6.270 Å, b = 6.270 Å, c = 5.062 Å
α = 90.00°, β = 90.00°, γ = 90.00°
Space group P4/mmm (No. 123)
One atom of each set of equivalent atoms:
Sr 0.000 0.500 0.000
Tc 0.000 0.000 0.500
Pd 0.500 0.500 0.500
Pb 0.500 0.500 0.000